1.
A plane-wave DFT calculation with PBE-GGA was carried out for an optimized crystal structure of Hf3NbAl4. Values from VASP.

Structure (Quantum ESPRESSO input):
```
&SYSTEM
  ibrav = 0, nat = 16, ntyp = 3
/
ATOMIC_SPECIES
Hf 178.49 Hf.upf
Nb 92.91 Nb.upf
Al 26.98 Al.upf
ATOMIC_POSITIONS crystal
Hf 0.697 0.836 0.000
Hf 0.190 0.524 0.237
Hf 0.690 0.476 0.263
Hf 0.197 0.164 0.500
Hf 0.690 0.476 0.737
Hf 0.190 0.524 0.763
Nb 0.931 0.354 0.000
Nb 0.431 0.646 0.500
Al 0.184 0.886 0.000
Al 0.448 0.330 0.000
Al 0.938 0.005 0.249
Al 0.438 0.995 0.251
Al 0.948 0.670 0.500
Al 0.684 0.114 0.500
Al 0.438 0.995 0.749
Al 0.938 0.005 0.751
CELL_PARAMETERS angstrom
5.983 0.000 0.000
0.000 5.219 0.000
0.000 0.000 9.529
```

Formation energy ... -0.235 eV/atom

2.
A plane-wave DFT calculation with PBE-GGA was carried out for an optimized crystal structure of HfNbAl. Values from VASP.

Structure (Quantum ESPRESSO input):
```
&SYSTEM
  ibrav = 0, nat = 6, ntyp = 3
/
ATOMIC_SPECIES
Hf 178.49 Hf.upf
Nb 92.91 Nb.upf
Al 26.98 Al.upf
ATOMIC_POSITIONS crystal
Hf 0.660 0.060 0.940
Hf 0.506 0.596 0.404
Nb 0.265 0.646 0.991
Nb 0.902 0.009 0.354
Al 0.236 0.175 0.519
Al 0.930 0.481 0.825
CELL_PARAMETERS angstrom
2.802 0.376 0.732
0.611 7.238 3.703
-1.733 3.237 6.873
```

Relative energy among the computed polymorphs ... 170 meV/atom
Formation energy ... -0.110 eV/atom

3.
A plane-wave DFT calculation with PBE-GGA was carried out for an optimized crystal structure of HfNbAl3. Values from VASP.

Structure (Quantum ESPRESSO input):
```
&SYSTEM
  ibrav = 0, nat = 5, ntyp = 3
/
ATOMIC_SPECIES
Hf 178.49 Hf.upf
Nb 92.91 Nb.upf
Al 26.98 Al.upf
ATOMIC_POSITIONS crystal
Hf 0.012 0.012 0.024
Nb 0.620 0.620 0.239
Al 0.270 0.770 0.540
Al 0.770 0.270 0.540
Al 0.418 0.418 0.836
CELL_PARAMETERS angstrom
3.750 0.000 0.000
0.000 3.750 0.000
-1.875 -1.875 6.702
```

Relative energy among the computed polymorphs ... 0 meV/atom
Formation energy ... -0.015 eV/atom

4.
A plane-wave DFT calculation with PBE-GGA was carried out for an optimized crystal structure of Hf2NbAl2. Values from VASP.

Structure (Quantum ESPRESSO input):
```
&SYSTEM
  ibrav = 0, nat = 10, ntyp = 3
/
ATOMIC_SPECIES
Nb 92.91 Nb.upf
Hf 178.49 Hf.upf
Al 26.98 Al.upf
ATOMIC_POSITIONS crystal
Nb 0.000 0.000 0.000
Nb 0.500 0.500 0.000
Hf 0.177 0.677 0.500
Hf 0.677 0.823 0.500
Hf 0.823 0.323 0.500
Hf 0.323 0.177 0.500
Al 0.375 0.875 0.000
Al 0.875 0.625 0.000
Al 0.625 0.125 0.000
Al 0.125 0.375 0.000
CELL_PARAMETERS angstrom
7.186 0.000 0.000
0.000 7.186 0.000
0.000 0.000 3.697
```

Relative energy among the computed polymorphs ... 0 meV/atom
Formation energy ... -0.268 eV/atom

5.
A plane-wave DFT calculation with PBE-GGA was carried out for an optimized crystal structure of Hf3NbAl2. Values from VASP.

Structure (Quantum ESPRESSO input):
```
&SYSTEM
  ibrav = 0, nat = 12, ntyp = 3
/
ATOMIC_SPECIES
Hf 178.49 Hf.upf
Nb 92.91 Nb.upf
Al 26.98 Al.upf
ATOMIC_POSITIONS crystal
Hf 0.368 0.368 0.167
Hf 0.200 0.200 0.833
Hf 0.632 0.632 0.833
Hf 0.800 0.800 0.167
Hf 0.158 0.158 0.315
Hf 0.842 0.842 0.685
Nb 0.693 0.693 0.385
Nb 0.307 0.307 0.615
Al 0.750 0.250 0.500
Al 0.231 0.769 0.000
Al 0.250 0.750 0.500
Al 0.769 0.231 0.000
CELL_PARAMETERS angstrom
5.021 1.351 -1.649
0.760 5.143 -1.649
-0.810 -0.910 9.896
```

Formation energy ... 0.000 eV/atom

6.
A plane-wave DFT calculation with PBE-GGA was carried out for an optimized crystal structure of Hf4NbAl3. Values from VASP.

Structure (Quantum ESPRESSO input):
```
&SYSTEM
  ibrav = 0, nat = 16, ntyp = 3
/
ATOMIC_SPECIES
Nb 92.91 Nb.upf
Hf 178.49 Hf.upf
Al 26.98 Al.upf
ATOMIC_POSITIONS crystal
Nb 0.000 0.500 0.000
Nb 0.000 0.500 0.500
Hf 0.500 0.751 0.000
Hf 0.500 0.751 0.500
Hf 0.500 0.249 0.000
Hf 0.500 0.249 0.500
Hf 0.092 0.750 0.750
Hf 0.908 0.750 0.250
Hf 0.908 0.250 0.250
Hf 0.092 0.250 0.750
Al 0.000 0.000 0.000
Al 0.000 0.000 0.500
Al 0.603 0.000 0.750
Al 0.397 0.000 0.250
Al 0.610 0.500 0.750
Al 0.390 0.500 0.250
CELL_PARAMETERS angstrom
4.989 0.000 0.000
0.000 6.320 0.000
0.000 0.000 9.764
```

Formation energy ... -0.272 eV/atom

Number 1: volume 298 Å³ per cell, density 8.22 g/cm3. Number 2: volume 112 Å³ per cell, density 8.81 g/cm3. Number 3: volume 94 Å³ per cell, density 6.21 g/cm3. Number 4: volume 191 Å³ per cell, density 8.77 g/cm3. Number 5: volume 234 Å³ per cell, density 9.69 g/cm3. Number 6: volume 308 Å³ per cell, density 9.58 g/cm3.